Record 1
Material: Dy2Al5Au4
Method: DFT, PBE-GGA
State: relaxed

a = 9.8820 Å, b = 9.1511 Å, c = 5.3493 Å
α = 81.36°, β = 66.28°, γ = 32.36°
Last column: nearest neighbours and their distance in Å.
Fractional positions:
Dy 0.1034 0.1034 0.8966  6 Au 3.14-3.15, 6 Al 3.23-3.26
Dy 0.8966 0.8966 0.1034  6 Au 3.14-3.15, 6 Al 3.23-3.26
Al 0.0000 0.0000 0.5000  4 Al 2.67-2.71, 4 Au 2.79
Al 0.2500 0.2500 0.2500  4 Au 2.59, 2 Al 2.71
Al 0.5000 0.5000 0.0000  4 Al 2.67-2.71, 4 Au 2.79
Al 0.5000 0.5000 0.5000  4 Al 2.67, 4 Au 2.76
Al 0.7500 0.7500 0.7500  4 Au 2.59, 2 Al 2.71
Au 0.2048 0.5311 0.4689  5 Al 2.59-2.79
Au 0.4689 0.7952 0.2048  5 Al 2.59-2.79
Au 0.5311 0.2048 0.7952  5 Al 2.59-2.79
Au 0.7952 0.4689 0.5311  5 Al 2.59-2.79

volume	218.6	Å³/cell
total DFT energy (no corrections)	-4.314	eV per atom

---

Record 2
Material: TmMg5Pt6
Method: DFT, PBE-GGA
State: relaxed

a = 6.8293 Å, b = 6.8293 Å, c = 7.1488 Å
α = 90.00°, β = 90.00°, γ = 143.16°
Last column: nearest neighbours and their distance in Å.
Fractional positions:
Tm 0.0000 0.0000 0.0000  8 Pt 2.84-2.86, 4 Mg 3.11
Mg 0.0000 0.0000 0.5000  8 Pt 2.77-2.80, 4 Mg 3.04
Mg 0.3277 0.6723 0.0000  8 Pt 2.75-2.90, 2 Mg 2.95
Mg 0.3347 0.6653 0.5000  8 Pt 2.75-2.77, 4 Mg 3.04-3.08
Mg 0.6653 0.3347 0.5000  8 Pt 2.75-2.77, 4 Mg 3.04-3.08
Mg 0.6723 0.3277 0.0000  8 Pt 2.75-2.90, 2 Mg 2.95
Pt 0.1694 0.8306 0.2566  7 Mg 2.75-2.83, 1 Tm 2.86, 4 Pt 3.00-3.08
Pt 0.1694 0.8306 0.7434  7 Mg 2.75-2.83, 1 Tm 2.86, 4 Pt 3.00-3.08
Pt 0.5000 0.5000 0.2580  6 Mg 2.75-2.90, 2 Tm 2.84, 4 Pt 3.08
Pt 0.5000 0.5000 0.7420  6 Mg 2.75-2.90, 2 Tm 2.84, 4 Pt 3.08
Pt 0.8306 0.1694 0.2566  7 Mg 2.75-2.83, 1 Tm 2.86, 4 Pt 3.00-3.08
Pt 0.8306 0.1694 0.7434  7 Mg 2.75-2.83, 1 Tm 2.86, 4 Pt 3.00-3.08

volume	199.9	Å³/cell
total DFT energy (no corrections)	-4.992	eV per atom